Entry 1:
# Ca2PO4, relaxed, DFT GGA-PBE
data_Ca2PO4
_chemical_formula_sum 'Ca4 P2 O8'
_space_group_name_H-M_alt 'P 1 21/m 1'
_space_group_IT_number 11
_cell_length_a 5.451
_cell_length_b 5.391
_cell_length_c 6.812
_cell_angle_alpha 90.00
_cell_angle_beta 113.03
_cell_angle_gamma 90.00
loop_
_space_group_symop_operation_xyz
'x,y,z'
'-x,-y,-z'
'-x,y+1/2,-z'
'x,-y+1/2,z'
loop_
_atom_site_label
_atom_site_type_symbol
_atom_site_fract_x
_atom_site_fract_y
_atom_site_fract_z
_atom_site_occupancy
Ca1 Ca 0.166 0.250 0.036 1
Ca2 Ca 0.307 0.250 0.577 1
P1 P 0.285 0.750 0.825 1
O1 O 0.087 0.519 0.741 1
O2 O 0.303 0.750 0.084 1
O3 O 0.437 0.750 0.644 1
# DOS at the Fermi energy	0.72	states/eV/f.u.
# uncorrected formation energy	-2456	meV/atom

Entry 2:
# CaP2O6, relaxed, DFT GGA-PBE
data_CaP2O6
_chemical_formula_sum 'Ca16 P32 O96'
_space_group_name_H-M_alt 'C 1 c 1'
_space_group_IT_number 9
_cell_length_a 13.897
_cell_length_b 20.270
_cell_length_c 6.844
_cell_angle_alpha 90.00
_cell_angle_beta 94.77
_cell_angle_gamma 90.00
loop_
_space_group_symop_operation_xyz
'x,y,z'
'x,-y,z+1/2'
'x+1/2,y+1/2,z'
'x+1/2,-y+1/2,z+1/2'
loop_
_atom_site_label
_atom_site_type_symbol
_atom_site_fract_x
_atom_site_fract_y
_atom_site_fract_z
_atom_site_occupancy
Ca1 Ca 0.000 0.053 0.000 1
Ca2 Ca 0.001 0.433 0.509 1
Ca3 Ca 0.244 0.309 0.516 1
Ca4 Ca 0.257 0.191 0.994 1
P1 P 0.072 0.295 0.173 1
P2 P 0.086 0.168 0.663 1
P3 P 0.169 0.071 0.373 1
P4 P 0.185 0.445 0.834 1
P5 P 0.317 0.445 0.196 1
P6 P 0.348 0.068 0.630 1
P7 P 0.418 0.177 0.364 1
P8 P 0.437 0.312 0.836 1
O1 O 0.014 0.233 0.237 1
O2 O 0.028 0.307 0.951 1
O3 O 0.057 0.353 0.304 1
O4 O 0.076 0.145 0.869 1
O5 O 0.102 0.017 0.295 1
O6 O 0.108 0.489 0.902 1
O7 O 0.113 0.106 0.539 1
O8 O 0.154 0.390 0.695 1
O9 O 0.157 0.224 0.647 1
O10 O 0.176 0.274 0.168 1
O11 O 0.206 0.119 0.233 1
O12 O 0.250 0.413 0.017 1
O13 O 0.257 0.036 0.503 1
O14 O 0.265 0.486 0.729 1
O15 O 0.316 0.400 0.369 1
O16 O 0.317 0.113 0.788 1
O17 O 0.340 0.278 0.831 1
O18 O 0.351 0.230 0.415 1
O19 O 0.401 0.108 0.469 1
O20 O 0.416 0.013 0.697 1
O21 O 0.416 0.464 0.142 1
O22 O 0.422 0.160 0.150 1
O23 O 0.441 0.378 0.741 1
O24 O 0.480 0.313 0.063 1
# DOS at the Fermi energy	0.00	states/eV/f.u.
# uncorrected formation energy	-2495	meV/atom

Entry 3:
# Ca5P3O12, relaxed, DFT GGA-PBE
data_Ca5P3O12
_chemical_formula_sum 'Ca10 P6 O24'
_space_group_name_H-M_alt 'P 63/m'
_space_group_IT_number 176
_space_group_name_Hall '-P 6c'
_cell_length_a 9.6589
_cell_length_b 9.6589
_cell_length_c 6.8083
_cell_angle_alpha 90.00
_cell_angle_beta 90.00
_cell_angle_gamma 120.00
loop_
_atom_site_label
_atom_site_type_symbol
_atom_site_fract_x
_atom_site_fract_y
_atom_site_fract_z
_atom_site_occupancy
Ca1 Ca 0.0076 0.7523 0.2500 1
Ca2 Ca 0.3333 0.6667 0.5027 1
P1 P 0.0303 0.4030 0.2500 1
O1 O 0.0841 0.3458 0.0668 1
O2 O 0.1266 0.5901 0.2500 1
O3 O 0.1517 0.6602 0.7500 1
# uncorrected formation energy	-2835	meV/atom

Entry 4:
# Ca3PO6, relaxed, DFT GGA-PBE
data_Ca3PO6
_chemical_formula_sum 'Ca6 P2 O12'
_space_group_name_H-M_alt 'P 1 21/c 1'
_space_group_IT_number 14
_cell_length_a 5.436
_cell_length_b 5.601
_cell_length_c 9.460
_cell_angle_alpha 90.00
_cell_angle_beta 125.08
_cell_angle_gamma 90.00
loop_
_space_group_symop_operation_xyz
'x,y,z'
'-x,-y,-z'
'-x,y+1/2,-z+1/2'
'x,-y+1/2,z+1/2'
loop_
_atom_site_label
_atom_site_type_symbol
_atom_site_fract_x
_atom_site_fract_y
_atom_site_fract_z
_atom_site_occupancy
Ca1 Ca 0.000 0.000 0.000 1
Ca2 Ca 0.260 0.048 0.746 1
P1 P 0.500 0.000 0.500 1
O1 O 0.200 0.035 0.288 1
O2 O 0.284 0.678 0.038 1
O3 O 0.385 0.249 0.555 1
# DOS at the Fermi energy	6.43	states/eV/f.u.
# uncorrected formation energy	-2501	meV/atom